The following is a DFT calculation (PBE+U) of FeCoPF2 after structural relaxation.

```
5
Lattice="3.850 0.000 0.000 0.000 5.148 0.000 0.000 0.000 3.850" Properties=species:S:1:pos:R:3 pbc="T T T"
P 0.000 2.574 0.000
Co 0.000 0.000 0.000
Fe 1.925 2.574 1.925
F 0.000 0.000 1.925
F 1.925 0.000 0.000
```

Results
The value obtained for the total energy is -4.730 eV/atom. For the density, the calculation gives 4.00 Mg/m³.